Record 1
MnAlTlTe3 | GGA-PBE | optimized geometry

The structure in POSCAR format:
```
MnAlTlTe3
1.0
8.5324 0.0000 0.0000
0.0000 4.1624 0.0000
-4.0956 0.0000 11.2432
Mn Al Tl Te
2 2 2 6
direct
0.1652 0.2500 0.1062
0.8348 0.7500 0.8938
0.4163 0.7500 0.3771
0.5837 0.2500 0.6229
0.2262 0.7500 0.7274
0.7738 0.2500 0.2726
0.0459 0.2500 0.8611
0.2749 0.2500 0.4502
0.4196 0.7500 0.1628
0.5804 0.2500 0.8372
0.7251 0.7500 0.5498
0.9541 0.7500 0.1389
```

Summary:
* Fermi-level density of states: 0.76 states/eV/f.u.
* crystal system: monoclinic
* M_tot: 9.908 Bohr magnetons per cell
* uncorrected formation energy: -0.268 eV/atom

Record 2
GdDyErPu | GGA-PBE | optimized geometry

The structure in POSCAR format:
```
GdDyErPu
1.0
0.0000 3.9430 3.9430
3.9430 0.0000 3.9430
3.9430 3.9430 0.0000
Gd Dy Er Pu
1 1 1 1
direct
0.0000 0.0000 0.0000
0.5000 0.5000 0.5000
0.7500 0.7500 0.7500
0.2500 0.2500 0.2500
```

Summary:
* Fermi-level density of states: 10.59 states/eV/f.u.
* DFT total energy: -36.9 eV per cell
* crystal system: cubic
* M_tot: 14.539 Bohr magnetons per cell

Record 3
Zn3W2 | GGA-PBE | optimized geometry

The structure in POSCAR format:
```
Zn3W2
1.0
0.0000 6.4241 2.5410
4.4630 0.0000 2.5410
4.4630 6.4241 0.0000
Zn W
6 4
direct
0.0000 0.0000 0.0000
0.2500 0.2500 0.2500
0.4358 0.7880 0.3401
0.7880 0.4358 0.4360
0.8140 0.9099 0.4620
0.9099 0.8140 0.8142
0.2401 0.5171 0.8661
0.3839 0.8733 0.0099
0.5171 0.2401 0.3767
0.8733 0.3839 0.7329
```

Summary:
* Fermi-level density of states: 1.90 states/eV/f.u.
* crystal system: orthorhombic
* M_tot: 0.000 Bohr magnetons per cell
* energy relative to the lowest polymorph listed for this composition: 55.1 meV/atom

Record 4
La3ErIr2 | GGA-PBE | optimized geometry

The structure in POSCAR format:
```
La3ErIr2
1.0
7.6496 -2.4357 0.0000
7.6496 2.4357 0.0000
-1.3908 0.0000 4.4055
La Er Ir
3 1 2
direct
0.0000 0.0000 0.0000
0.3097 0.3097 0.8091
0.6903 0.6903 0.1909
0.5000 0.5000 0.5000
0.1272 0.1272 0.6267
0.8728 0.8728 0.3733
```

Summary:
* Fermi-level density of states: 3.91 states/eV/f.u.
* DFT total energy: -40.4 eV per cell
* crystal system: monoclinic
* M_tot: 0.000 Bohr magnetons per cell

Record 5
Ba3SnGe2 | GGA-PBE | optimized geometry

The structure in POSCAR format:
```
Ba3SnGe2
1.0
8.3671 0.0000 0.0000
0.0000 10.5603 0.0000
-3.2321 0.0000 9.9693
Ba Sn Ge
12 4 8
direct
0.1631 0.1203 0.4986
0.1631 0.3797 0.9986
0.2424 0.0352 0.1411
0.2424 0.4648 0.6411
0.2844 0.6815 0.3116
0.2844 0.8185 0.8116
0.7156 0.1815 0.1884
0.7156 0.3185 0.6884
0.7576 0.5352 0.3589
0.7576 0.9648 0.8589
0.8369 0.6203 0.0014
0.8369 0.8797 0.5014
0.4057 0.1730 0.8571
0.4057 0.3270 0.3571
0.5943 0.6730 0.6429
0.5943 0.8270 0.1429
0.0668 0.1186 0.7925
0.0668 0.3814 0.2925
0.4503 0.5929 0.0587
0.4503 0.9071 0.5587
0.5497 0.0929 0.4413
0.5497 0.4071 0.9413
0.9332 0.6186 0.7075
0.9332 0.8814 0.2075
```

Summary:
* Fermi-level density of states: 2.23 states/eV/f.u.
* DFT total energy: -88.3 eV per cell
* crystal system: monoclinic
* M_tot: 0.000 Bohr magnetons per cell

Record 6
NaCu4Ag3Cl12 | GGA-PBE | optimized geometry

The structure in POSCAR format:
```
NaCu4Ag3Cl12
1.0
6.7633 3.9048 3.3456
-6.7633 3.9048 3.3456
0.0000 -7.8096 3.3456
Na Cu Ag Cl
1 4 3 12
direct
0.0000 0.0000 0.0000
0.0752 0.5000 0.9248
0.5000 0.5000 0.5000
0.5000 0.9248 0.0752
0.9248 0.0752 0.5000
0.0000 0.5631 0.4369
0.4369 0.0000 0.5631
0.5631 0.4369 0.0000
0.0164 0.6572 0.7715
0.0880 0.9120 0.5000
0.2285 0.3428 0.9836
0.3384 0.6616 0.5000
0.3428 0.9836 0.2285
0.5000 0.0880 0.9120
0.5000 0.3384 0.6616
0.6572 0.7715 0.0164
0.6616 0.5000 0.3384
0.7715 0.0164 0.6572
0.9120 0.5000 0.0880
0.9836 0.2285 0.3428
```

Summary:
* Fermi-level density of states: 15.79 states/eV/f.u.
* crystal system: trigonal
* M_tot: 1.415 Bohr magnetons per cell
* uncorrected formation energy: -0.554 eV/atom

Q: The lowest Fermi-level density of states belongs to which entry?
A: MnAlTlTe3

Q: Look up the Fermi-level density of states of the third one.
A: 1.90 states/eV/f.u.